# 1
Below is LiHfIn after structural relaxation, with properties calculated at the PBE level.

Results
- Formation enthalpy at 0 K: 0.240 eV per atom
- Magnetization: 0.000 μB/atom
- Distance to the lowest polymorph of the same formula: 462 meV per atom

Cell lengths 5.063, 5.063, 3.010 Å; angles 90.00, 90.00, 120.00 degrees
Fractional coordinates of all 3 atoms:
Li  0.000  0.000  0.000
Hf  0.667  0.333  0.500
In  0.333  0.667  0.500

# 2
Below is LiHfIn after structural relaxation, with properties calculated at the PBE level.

Results
- Formation enthalpy at 0 K: 0.001 eV per atom
- Magnetization: 0.000 μB/atom
- Distance to the lowest polymorph of the same formula: 223 meV per atom

Cell lengths 9.065, 5.256, 6.526 Å; angles 90.00, 125.82, 90.00 degrees
Fractional coordinates of all 12 atoms:
Li  0.173  0.000  0.010
Li  0.327  0.500  0.990
Li  0.673  0.500  0.010
Li  0.827  0.000  0.990
Hf  0.166  0.203  0.491
Hf  0.334  0.703  0.509
Hf  0.666  0.703  0.491
Hf  0.834  0.203  0.509
In  0.000  0.505  0.000
In  0.000  0.704  0.500
In  0.500  0.005  0.000
In  0.500  0.204  0.500

# 3
Below is LiHfIn after structural relaxation, with properties calculated at the PBE level.

Results
- Formation enthalpy at 0 K: -0.108 eV per atom
- Magnetization: 0.000 μB/atom
- Distance to the lowest polymorph of the same formula: 114 meV per atom

Cell lengths 5.494, 3.286, 14.809 Å; angles 90.00, 90.85, 90.00 degrees
Fractional coordinates of all 12 atoms:
Li  0.000  0.000  0.000
Li  0.136  0.500  0.828
Li  0.500  0.500  0.000
Li  0.636  0.000  0.828
Hf  0.012  0.000  0.332
Hf  0.361  0.000  0.494
Hf  0.512  0.500  0.332
Hf  0.861  0.500  0.494
In  0.000  0.000  0.671
In  0.163  0.500  0.156
In  0.500  0.500  0.671
In  0.663  0.000  0.156

# 4
Below is LiHfIn after structural relaxation, with properties calculated at the PBE level.

Results
- Formation enthalpy at 0 K: 0.190 eV per atom
- Magnetization: 0.000 μB/atom
- Distance to the lowest polymorph of the same formula: 412 meV per atom

Cell lengths 4.047, 4.047, 7.272 Å; angles 90.00, 90.00, 90.00 degrees
Fractional coordinates of all 6 atoms:
Li  0.250  0.250  0.245
Li  0.750  0.750  0.755
Hf  0.250  0.250  0.627
Hf  0.750  0.750  0.373
In  0.250  0.750  0.000
In  0.750  0.250  0.000

# 5
Below is LiHfIn after structural relaxation, with properties calculated at the PBE level.

Results
- Formation enthalpy at 0 K: -0.160 eV per atom
- Magnetization: 0.000 μB/atom
- Distance to the lowest polymorph of the same formula: 62 meV per atom

Cell lengths 3.145, 4.321, 9.143 Å; angles 90.00, 98.40, 90.00 degrees
Fractional coordinates of all 6 atoms:
Li  0.172  0.250  0.075
Li  0.828  0.750  0.925
Hf  0.213  0.250  0.414
Hf  0.787  0.750  0.586
In  0.347  0.250  0.767
In  0.653  0.750  0.233

# 6
Below is LiHf2In after structural relaxation, with properties calculated at the PBE level.

Results
- Formation enthalpy at 0 K: 0.257 eV per atom
- Magnetization: 0.000 μB/atom

Cell lengths 3.056, 3.056, 33.619 Å; angles 90.00, 90.00, 120.00 degrees
Fractional coordinates of all 12 atoms:
Li  0.000  0.000  0.000
Li  0.333  0.667  0.667
Li  0.667  0.333  0.333
Hf  0.000  0.000  0.088
Hf  0.000  0.000  0.912
Hf  0.333  0.667  0.578
Hf  0.333  0.667  0.755
Hf  0.667  0.333  0.245
Hf  0.667  0.333  0.422
In  0.000  0.000  0.500
In  0.333  0.667  0.167
In  0.667  0.333  0.833

# 7
Below is Li2HfIn2 after structural relaxation, with properties calculated at the PBE level.

Results
- Formation enthalpy at 0 K: -0.025 eV per atom
- Magnetization: 0.000 μB/atom
- Distance to the lowest polymorph of the same formula: 118 meV per atom

Cell lengths 3.891, 3.891, 13.526 Å; angles 90.00, 90.00, 90.00 degrees
Fractional coordinates of all 10 atoms:
Li  0.000  0.500  0.250
Li  0.000  0.500  0.750
Li  0.500  0.000  0.250
Li  0.500  0.000  0.750
Hf  0.000  0.000  0.000
Hf  0.500  0.500  0.500
In  0.000  0.000  0.395
In  0.000  0.000  0.605
In  0.500  0.500  0.105
In  0.500  0.500  0.895

# 8
Below is LiHfIn after structural relaxation, with properties calculated at the PBE level.

Results
- Formation enthalpy at 0 K: -0.047 eV per atom
- Magnetization: 0.000 μB/atom
- Distance to the lowest polymorph of the same formula: 174 meV per atom

Cell lengths 9.815, 4.395, 6.219 Å; angles 90.00, 117.81, 90.00 degrees
Fractional coordinates of all 12 atoms:
Li  0.147  0.000  0.066
Li  0.353  0.500  0.934
Li  0.647  0.500  0.066
Li  0.853  0.000  0.934
Hf  0.169  0.000  0.585
Hf  0.331  0.500  0.415
Hf  0.669  0.500  0.585
Hf  0.831  0.000  0.415
In  0.025  0.500  0.771
In  0.475  0.000  0.229
In  0.525  0.000  0.771
In  0.975  0.500  0.229

# 9
Below is Li2HfIn2 after structural relaxation, with properties calculated at the PBE level.

Results
- Formation enthalpy at 0 K: -0.034 eV per atom
- Magnetization: 0.000 μB/atom
- Distance to the lowest polymorph of the same formula: 109 meV per atom

Cell lengths 8.069, 8.069, 3.064 Å; angles 90.00, 90.00, 90.00 degrees
Fractional coordinates of all 10 atoms:
Li  0.158  0.342  0.000
Li  0.342  0.842  0.000
Li  0.658  0.158  0.000
Li  0.842  0.658  0.000
Hf  0.000  0.000  0.500
Hf  0.500  0.500  0.500
In  0.143  0.643  0.500
In  0.357  0.143  0.500
In  0.643  0.857  0.500
In  0.857  0.357  0.500

# 10
Below is LiHfIn after structural relaxation, with properties calculated at the PBE level.

Results
- Formation enthalpy at 0 K: -0.030 eV per atom
- Magnetization: 0.000 μB/atom
- Distance to the lowest polymorph of the same formula: 192 meV per atom

Cell lengths 4.188, 13.256, 4.346 Å; angles 90.00, 90.00, 90.00 degrees
Fractional coordinates of all 12 atoms:
Li  0.000  0.250  0.250
Li  0.000  0.750  0.750
Li  0.500  0.250  0.750
Li  0.500  0.750  0.250
Hf  0.000  0.080  0.750
Hf  0.000  0.920  0.250
Hf  0.500  0.420  0.250
Hf  0.500  0.580  0.750
In  0.000  0.394  0.750
In  0.000  0.606  0.250
In  0.500  0.106  0.250
In  0.500  0.894  0.750

# 11
Below is LiHfIn after structural relaxation, with properties calculated at the PBE level.

Results
- Formation enthalpy at 0 K: -0.007 eV per atom
- Magnetization: 0.000 μB/atom
- Distance to the lowest polymorph of the same formula: 215 meV per atom

Cell lengths 3.125, 3.125, 12.106 Å; angles 90.00, 90.00, 90.00 degrees
Fractional coordinates of all 6 atoms:
Li  0.000  0.000  0.000
Li  0.500  0.500  0.500
Hf  0.000  0.000  0.325
Hf  0.500  0.500  0.825
In  0.000  0.000  0.643
In  0.500  0.500  0.143

# 12
Below is LiHfIn after structural relaxation, with properties calculated at the PBE level.

Results
- Formation enthalpy at 0 K: 0.027 eV per atom
- Magnetization: 0.000 μB/atom
- Distance to the lowest polymorph of the same formula: 249 meV per atom

Cell lengths 3.100, 3.100, 25.797 Å; angles 90.00, 90.00, 90.00 degrees
Fractional coordinates of all 12 atoms:
Li  0.000  0.000  0.215
Li  0.000  0.000  0.785
Li  0.500  0.500  0.285
Li  0.500  0.500  0.715
Hf  0.000  0.000  0.058
Hf  0.000  0.000  0.942
Hf  0.500  0.500  0.442
Hf  0.500  0.500  0.558
In  0.000  0.000  0.356
In  0.000  0.000  0.644
In  0.500  0.500  0.144
In  0.500  0.500  0.856

Calculated volume for every record listed, in sequence, given in Å³/cell: 66.83, 252.13, 267.34, 119.07, 122.90, 271.85, 204.76, 237.27, 199.46, 241.25, 118.19, 247.93.
DOS at the Fermi energy for every record listed, in sequence, given in states/eV per cell: 1.75, 7.87, 8.12, 3.96, 3.69, 11.89, 5.31, 5.53, 7.33, 7.64, 4.02, 8.28.